Density functional theory data (PBE-GGA) for a relaxed CaLaH crystal.

distance to the lowest polymorph of the same formula: 0.0531 eV per atom
space group: No. 156
crystal system: trigonal

POSCAR file:
```
CaLaH
1.0
-0.066 1.240 3.496
1.192 -3.437 -0.727
5.881 2.180 -0.662
Ca H La
1 1 1
direct
0.000 0.000 0.906 Ca
0.333 0.667 0.666 H
0.667 0.333 0.429 La
```


Density functional theory data (PBE-GGA) for a relaxed MgAl4Ag crystal.

distance to the lowest polymorph of the same formula: 0.0000 eV per atom
space group: No. 12
crystal system: monoclinic
DFT formation energy: 0.00 eV/atom

POSCAR file:
```
MgAl4Ag
1.0
-3.544 3.579 0.771
0.528 1.933 4.598
2.988 4.007 0.708
Al Mg Ag
4 1 1
direct
0.000 0.669 0.662 Al
0.500 0.826 0.349 Al
0.000 0.331 0.338 Al
0.500 0.174 0.651 Al
0.000 0.000 0.000 Mg
0.500 0.500 0.000 Ag
```


Density functional theory data (PBE-GGA) for a relaxed Tb11Y9Ho4 crystal.

space group: No. 65
crystal system: orthorhombic
DFT formation energy: 0.05 eV/atom

POSCAR file:
```
Tb11Y9Ho4
1.0
-1.427 -0.074 3.369
9.195 -11.473 3.642
6.071 13.577 2.870
Tb Y Ho
11 9 4
direct
0.000 0.000 0.000 Tb
0.000 0.368 0.632 Tb
0.000 0.632 0.368 Tb
0.000 0.840 0.160 Tb
0.000 0.160 0.840 Tb
0.000 0.046 0.408 Tb
0.000 0.293 0.293 Tb
0.000 0.408 0.046 Tb
0.000 0.954 0.592 Tb
0.000 0.592 0.954 Tb
0.000 0.707 0.707 Tb
0.500 0.631 0.164 Y
0.500 0.500 0.500 Y
0.500 0.836 0.369 Y
0.500 0.068 0.214 Y
0.500 0.369 0.836 Y
0.500 0.786 0.932 Y
0.500 0.164 0.631 Y
0.500 0.932 0.786 Y
0.500 0.214 0.068 Y
0.500 0.446 0.244 Ho
0.500 0.554 0.756 Ho
0.500 0.756 0.554 Ho
0.500 0.244 0.446 Ho
```


Total energy? In order: -10.820, -19.435, -126.326 eV per formula unit.